No. 1
Cs2AlHgS | PBE | relaxed

abc: 6.8240 5.0201 6.8240
angles: 90.00 90.00 90.00
Closest atoms and distances in Å follow each position.
Fractional positions:
Cs  0.0000  0.0000  0.5000  2 Hg 3.41
Cs  0.5000  0.0000  0.0000  2 Hg 3.41
S  0.5000  0.5000  0.5000  8 Cs 4.24
Hg  0.0000  0.0000  0.0000  2 Al 2.51
Al  0.0000  0.5000  0.0000  2 Hg 2.51

Output
* size of the total moment: 0.189 μB per formula unit
* final energy: -9.4 eV per formula unit
* formation energy without anion corrections: 0.10 eV/atom
* Fermi-level density of states: 5.73 states/eV/cell



No. 2
CsAlHg2Sb | PBE | relaxed

abc: 5.5830 5.5830 5.4865
angles: 90.00 90.00 90.00
Closest atoms and distances in Å follow each position.
Fractional positions:
Cs  0.5000  0.5000  0.5000  8 Hg 3.91, 4 Sb 3.95
Sb  0.0000  0.0000  0.5000  2 Al 2.74
Hg  0.0000  0.5000  0.0000  2 Al 2.79
Hg  0.5000  0.0000  0.0000  2 Al 2.79
Al  0.0000  0.0000  0.0000  2 Sb 2.74, 4 Hg 2.79

Output
* size of the total moment: 0.000 μB per formula unit
* final energy: -9.7 eV per formula unit
* formation energy without anion corrections: -0.08 eV/atom
* Fermi-level density of states: 2.21 states/eV/cell



No. 3
CsAlHg2Se4 | PBE | relaxed

abc: 6.7058 7.2436 7.2436
angles: 82.11 62.43 62.43
Closest atoms and distances in Å follow each position.
Fractional positions:
Cs  0.0000  0.0000  0.0000  8 Se 3.77-3.89
Al  0.0000  0.5000  0.5000  4 Se 2.43
Hg  0.5000  0.6689  0.3311  2 Se 2.51
Hg  0.5000  0.3311  0.6689  2 Se 2.51
Se  0.6316  0.5220  0.8190  1 Al 2.43, 1 Hg 2.51
Se  0.3684  0.1810  0.4780  1 Al 2.43, 1 Hg 2.51
Se  0.9726  0.4780  0.1810  1 Al 2.43, 1 Hg 2.51
Se  0.0274  0.8190  0.5220  1 Al 2.43, 1 Hg 2.51

Output
* size of the total moment: 0.000 μB per formula unit
* final energy: -24.6 eV per formula unit
* formation energy without anion corrections: -0.68 eV/atom



No. 4
CsAlSnHg2 | PBE | relaxed

abc: 5.6097 5.6097 5.4425
angles: 90.00 90.00 90.00
Closest atoms and distances in Å follow each position.
Fractional positions:
Cs  0.5000  0.5000  0.5000  8 Hg 3.91, 4 Sn 3.97
Al  0.0000  0.0000  0.0000  2 Sn 2.72, 4 Hg 2.80
Hg  0.0000  0.5000  0.0000  2 Al 2.80
Hg  0.5000  0.0000  0.0000  2 Al 2.80
Sn  0.0000  0.0000  0.5000  2 Al 2.72

Output
* size of the total moment: 0.000 μB per formula unit
* final energy: -9.2 eV per formula unit
* DFT formation energy: 0.01 eV/atom
* Fermi-level density of states: 2.98 states/eV/cell



No. 5
CsTaAlHg2 | PBE | relaxed

abc: 5.4833 6.2145 5.4833
angles: 90.00 90.00 90.00
Closest atoms and distances in Å follow each position.
Fractional positions:
Cs  0.0000  0.5000  0.0000  2 Ta 3.11
Al  0.5000  0.5000  0.5000  4 Cs 3.88, 8 Hg 4.14
Hg  0.0000  0.0000  0.5000  2 Ta 2.74
Hg  0.5000  0.0000  0.0000  2 Ta 2.74
Ta  0.0000  0.0000  0.0000  4 Hg 2.74

Output
* size of the total moment: 1.730 μB per formula unit
* final energy: -10.9 eV per formula unit
* DFT formation energy: 1.23 eV/atom
* Fermi-level density of states: 5.57 states/eV/cell



No. 6
CsAlHg2Te | PBE | relaxed

abc: 5.5102 5.5102 5.7493
angles: 90.00 90.00 90.00
Closest atoms and distances in Å follow each position.
Fractional positions:
Cs  0.5000  0.5000  0.5000  4 Te 3.90, 8 Hg 3.98
Te  0.0000  0.0000  0.5000  2 Al 2.87
Hg  0.0000  0.5000  0.0000  2 Al 2.76
Hg  0.5000  0.0000  0.0000  2 Al 2.76
Al  0.0000  0.0000  0.0000  4 Hg 2.76, 2 Te 2.87

Output
* size of the total moment: 0.000 μB per formula unit
* final energy: -10.0 eV per formula unit
* formation energy without anion corrections: -0.33 eV/atom
* Fermi-level density of states: 1.22 states/eV/cell



No. 7
CsAlHg2Te4 | PBE | relaxed

abc: 7.2189 7.6766 7.6766
angles: 80.40 61.95 61.95
Closest atoms and distances in Å follow each position.
Fractional positions:
Cs  0.0000  0.0000  0.0000  8 Te 3.99-4.07
Al  0.0000  0.5000  0.5000  4 Te 2.66
Hg  0.5000  0.6677  0.3323  2 Te 2.69
Hg  0.5000  0.3323  0.6677  2 Te 2.69
Te  0.6219  0.5225  0.8285  1 Al 2.66, 1 Hg 2.69
Te  0.3781  0.1715  0.4775  1 Al 2.66, 1 Hg 2.69
Te  0.9729  0.4775  0.1715  1 Al 2.66, 1 Hg 2.69
Te  0.0271  0.8285  0.5225  1 Al 2.66, 1 Hg 2.69

Output
* size of the total moment: 0.000 μB per formula unit
* final energy: -21.6 eV per formula unit
* formation energy without anion corrections: -0.48 eV/atom



No. 8
CsAlHgTe3 | PBE | relaxed

abc: 9.0260 9.0260 8.1709
angles: 70.37 70.37 56.97
Closest atoms and distances in Å follow each position.
Fractional positions:
Cs  0.6677  0.6677  0.7397  7 Te 4.01-4.40, 2 Hg 4.41
Cs  0.3323  0.3323  0.2603  7 Te 4.01-4.40, 2 Hg 4.41
Al  0.9281  0.9281  0.9018  4 Te 2.65-2.66
Al  0.0719  0.0719  0.0982  4 Te 2.65-2.66
Hg  0.2514  0.7486  0.5000  2 Te 2.69
Hg  0.7486  0.2514  0.5000  2 Te 2.69
Te  0.1090  0.1090  0.7534  2 Al 2.65
Te  0.1163  0.6038  0.8167  1 Al 2.66, 1 Hg 2.69
Te  0.6038  0.1163  0.8167  1 Al 2.66, 1 Hg 2.69
Te  0.3962  0.8837  0.1833  1 Al 2.66, 1 Hg 2.69
Te  0.8837  0.3962  0.1833  1 Al 2.66, 1 Hg 2.69
Te  0.8910  0.8910  0.2466  2 Al 2.65

Output
* size of the total moment: 0.000 μB per formula unit
* final energy: -17.8 eV per formula unit
* formation energy without anion corrections: -0.58 eV/atom



Among the records above, which one has the lowest final energy?
CsAlHg2Se4